(1)
The following is a DFT calculation (PBE) of crystalline Pr4NiRhCl2 at its relaxed geometry.

a = 7.128 Å, b = 4.101 Å, c = 7.946 Å
α = 90.00°, β = 107.58°, γ = 90.00°
Space group P2/m (No. 10)
Symmetry-distinct sites (fractional):
Pr 0.232 0.000 0.202
Pr 0.260 0.500 0.796
Ni 0.000 0.500 0.000
Rh 0.500 0.000 0.000
Cl 0.000 0.000 0.500
Cl 0.500 0.500 0.500

Output
* E: -5.525 eV per atom
* crystal system: monoclinic

(2)
The following is a DFT calculation (PBE) of crystalline SrCu2P at its relaxed geometry.

a = 4.238 Å, b = 5.792 Å, c = 6.916 Å
α = 90.00°, β = 90.00°, γ = 90.00°
Space group Imm2 (No. 44)
Symmetry-distinct sites (fractional):
Sr 0.000 0.000 0.000
Cu 0.000 0.000 0.547
Cu 0.000 0.500 0.836
P 0.000 0.500 0.167

Output
* E: -3.987 eV per atom
* crystal system: orthorhombic
* formation energy: -0.1658 eV/atom